1.
{"formula": "YZn11Ir", "functional": "GGA-PBE", "state": "relaxed", "lattice_angstrom": [[-2.616, 2.463, -3.769], [-0.478, -3.537, -5.787], [-6.728, -1.388, 0.165]], "species": ["Zn", "Zn", "Zn", "Ir", "Zn", "Zn", "Zn", "Y", "Zn", "Zn", "Zn", "Zn", "Zn"], "fractional_positions": [[0.502, 0.215, 0.782], [0.284, 0.215, 0.218], [0.498, 0.785, 0.218], [0.500, 0.500, 0.000], [0.500, 0.000, 0.500], [0.000, 0.500, 0.000], [0.978, 0.354, 0.651], [0.000, 0.000, 0.000], [0.371, 0.646, 0.651], [0.000, 0.000, 0.500], [0.022, 0.646, 0.349], [0.629, 0.354, 0.349], [0.716, 0.785, 0.782]], "energy_ev_per_cell": -32.3, "n_ef_per_ev_cell": 4.74, "ef_ev_per_atom": -0.226, "m_tot_mub_per_cell": 0.00}

2.
{"formula": "Y2Zn3Ir", "functional": "GGA-PBE", "state": "relaxed", "lattice_angstrom": [[8.114, 0.000, 3.523], [4.057, 7.702, 1.762], [1.267, 0.000, 8.186]], "species": ["Zn", "Zn", "Zn", "Y", "Zn", "Y", "Zn", "Y", "Zn", "Y", "Ir", "Zn", "Y", "Y", "Zn", "Zn", "Y", "Ir", "Ir", "Zn", "Y", "Zn", "Ir", "Zn"], "fractional_positions": [[0.415, 0.169, 0.500], [0.079, 0.334, 0.508], [0.335, 0.331, 0.000], [0.370, 0.000, 0.260], [0.921, 0.666, 0.492], [0.120, 0.500, 0.760], [0.665, 0.669, 0.000], [0.630, 0.000, 0.740], [0.338, 0.834, 0.992], [0.124, 0.000, 0.753], [0.581, 0.837, 0.500], [0.587, 0.334, 0.492], [0.876, 0.000, 0.247], [0.874, 0.500, 0.253], [0.829, 0.834, 0.008], [0.671, 0.166, 0.992], [0.626, 0.500, 0.747], [0.831, 0.337, 0.000], [0.169, 0.663, 0.000], [0.412, 0.666, 0.508], [0.380, 0.500, 0.240], [0.085, 0.831, 0.500], [0.919, 0.163, 0.500], [0.163, 0.166, 0.008]], "energy_ev_per_cell": -114.5, "n_ef_per_ev_cell": 14.22, "ef_ev_per_atom": -0.503, "m_tot_mub_per_cell": 0.00}

3.
{"formula": "Y4Zn3Ir", "functional": "GGA-PBE", "state": "relaxed", "lattice_angstrom": [[3.556, 0.000, 0.000], [0.000, 3.556, 0.000], [0.000, 0.000, 14.110]], "species": ["Y", "Ir", "Zn", "Zn", "Zn", "Y", "Y", "Y"], "fractional_positions": [[0.000, 0.000, 0.628], [0.500, 0.500, 0.000], [0.500, 0.500, 0.248], [0.500, 0.500, 0.500], [0.500, 0.500, 0.752], [0.000, 0.000, 0.886], [0.000, 0.000, 0.114], [0.000, 0.000, 0.372]], "energy_ev_per_cell": -42.4, "n_ef_per_ev_cell": 6.64, "ef_ev_per_atom": -0.487, "m_tot_mub_per_cell": 0.00}

4.
{"formula": "YZn4Ir2", "functional": "GGA-PBE", "state": "relaxed", "lattice_angstrom": [[4.118, 0.000, 0.000], [0.000, 7.619, 0.000], [0.000, 0.000, 7.619]], "species": ["Y", "Ir", "Ir", "Zn", "Zn", "Zn", "Zn", "Ir", "Zn", "Zn", "Ir", "Y", "Zn", "Zn"], "fractional_positions": [[0.500, 0.000, 0.000], [0.000, 0.787, 0.213], [0.000, 0.213, 0.787], [0.500, 0.151, 0.594], [0.000, 0.651, 0.906], [0.000, 0.349, 0.094], [0.500, 0.406, 0.849], [0.500, 0.287, 0.287], [0.500, 0.849, 0.406], [0.000, 0.094, 0.349], [0.500, 0.713, 0.713], [0.000, 0.500, 0.500], [0.000, 0.906, 0.651], [0.500, 0.594, 0.151]], "energy_ev_per_cell": -64.0, "n_ef_per_ev_cell": 4.34, "ef_ev_per_atom": -0.390, "m_tot_mub_per_cell": 0.00}

Number 3 is which compound? Y4Zn3Ir